# MnFe2Ni9

An optimized crystal structure of MnFe2Ni9 (PBE, Alexandria via LeMat-Bulk).

a b c (Å): 3.554 3.554 10.669
angles (deg): 90.00 90.00 90.00
Fractional coordinates of all 12 atoms:
Mn: 0.000 0.000 0.000
Fe: 0.000 0.000 0.333
Fe: 0.000 0.000 0.667
Ni: 0.000 0.500 0.170
Ni: 0.000 0.500 0.500
Ni: 0.000 0.500 0.830
Ni: 0.500 0.000 0.170
Ni: 0.500 0.000 0.500
Ni: 0.500 0.000 0.830
Ni: 0.500 0.500 0.000
Ni: 0.500 0.500 0.335
Ni: 0.500 0.500 0.665

SG = P4/mmm
Theoretical density = 8.56 Mg/m³
M_tot = 15.18 Bohr magnetons per cell
Calculated volume = 11.229 Å³/atom
Formation energy = -0.10 eV/atom